Computed, not measured: MnAu2SeO after structural relaxation at the GGA+U level of DFT.

Cell lengths 5.195, 5.195, 3.599 Å; angles 90.00, 90.00, 90.00 degrees
Atoms (fractional coordinates):
Mn1 0.000 0.000 0.000
Au1 0.000 0.500 0.000
Au2 0.500 0.000 0.000
Se1 0.500 0.500 0.500
O1 0.000 0.000 0.500

Its total energy is -21.79 eV/f.u. As for the space group: No. 123.